Entry 1:
A relaxed structure of Nd2DyHo4Tm, computed with GGA-PBE.

Cell: 9.4940 9.4940 11.7938 Å, 128.40 128.40 88.41°
Fractional coordinates of all 16 atoms:
Tm 0.0000 0.0000 0.0000
Tm 0.5000 0.5000 0.5000
Ho 0.2469 0.2498 0.0032
Ho 0.2439 0.7540 0.9990
Ho 0.7498 0.7469 0.5032
Ho 0.7561 0.2460 0.0010
Ho 0.2540 0.7439 0.4990
Ho 0.7531 0.7502 0.9968
Ho 0.2502 0.2531 0.4968
Ho 0.7460 0.2561 0.5010
Dy 0.0000 0.5000 0.0000
Dy 0.0000 0.5000 0.5000
Nd 0.5000 0.5000 0.0000
Nd 0.5000 0.0000 0.5000
Nd 0.5000 0.0000 0.0000
Nd 0.0000 0.0000 0.5000

Results
ΔE_f (eV/atom): 0.43
Symmetry: No. 15

Entry 2:
A relaxed structure of MnNb2Ni, computed with GGA-PBE.

Cell: 6.7760 6.7760 5.4923 Å, 51.91 51.91 90.00°
Fractional coordinates of all 8 atoms:
Nb 0.8750 0.8699 0.7500
Nb 0.6199 0.1250 0.2500
Nb 0.3750 0.3801 0.7500
Nb 0.1301 0.6250 0.2500
Ni 0.0000 0.0000 0.0000
Ni 0.7500 0.2500 0.5000
Mn 0.5000 0.5000 0.0000
Mn 0.2500 0.7500 0.5000

Results
ΔE_f (eV/atom): 0.41
Symmetry: No. 122

Entry 3:
A relaxed structure of VTc2Rh2, computed with GGA-PBE.

Cell: 3.4487 3.4487 7.0360 Å, 75.81 75.81 90.00°
Fractional coordinates of all 5 atoms:
Rh 0.5941 0.5941 0.8117
Rh 0.4059 0.4059 0.1883
Tc 0.7500 0.2500 0.5000
Tc 0.2500 0.7500 0.5000
V 0.0000 0.0000 0.0000

Results
ΔE_f (eV/atom): 0.31
Symmetry: No. 139

Entry 4:
A relaxed structure of Al2AgRu, computed with GGA-PBE.

Cell: 2.8690 2.8690 8.4319 Å, 90.00 90.00 115.49°
Fractional coordinates of all 4 atoms:
Al 0.0000 0.0000 0.0218
Al 0.0000 0.0000 0.4782
Ru 0.5000 0.5000 0.2500
Ag 0.5000 0.5000 0.7500

Results
ΔE_f (eV/atom): -0.17
Symmetry: No. 65

Entry 5:
A relaxed structure of NiMoPd6, computed with GGA-PBE.

Cell: 4.4646 5.5552 5.5514 Å, 120.02 90.00 90.00°
Fractional coordinates of all 8 atoms:
Pd 0.5000 0.1644 0.3289
Pd 0.0000 0.3429 0.1735
Pd 0.5000 0.6673 0.8243
Pd 0.0000 0.3348 0.6696
Pd 0.5000 0.1570 0.8243
Pd 0.0000 0.8306 0.1735
Mo 0.5000 0.6750 0.3500
Ni 0.0000 0.8280 0.6560

Results
ΔE_f (eV/atom): 0.00
Symmetry: No. 38

Entry 6:
A relaxed structure of PtWCl2, computed with GGA-PBE.

Cell: 2.9593 4.2370 7.5586 Å, 74.13 90.00 90.00°
Fractional coordinates of all 4 atoms:
Cl 0.5000 0.1403 0.3382
Cl 0.0000 0.8513 0.9293
Pt 0.0000 0.5286 0.5663
W 0.5000 0.9798 0.6662

Results
E_form (uncorrected) (eV/f.u.): -0.64
Symmetry: No. 6

Entry 7:
A relaxed structure of LaZr2Mo, computed with GGA-PBE.

Cell: 3.1560 3.1560 10.1888 Å, 90.00 90.00 114.60°
Fractional coordinates of all 4 atoms:
La 0.0000 0.0000 0.5356
Zr 0.5000 0.5000 0.2262
Zr 0.0000 0.0000 0.9723
Mo 0.5000 0.5000 0.7659

Results
ΔE_f (eV/atom): 0.29
Symmetry: No. 35

Entry 8:
A relaxed structure of TbEr2B6, computed with GGA-PBE.

Cell: 3.8500 5.6789 5.6789 Å, 120.00 90.00 90.00°
Fractional coordinates of all 9 atoms:
B 0.5000 0.0000 0.3353
B 0.5000 0.3353 0.3353
B 0.5000 0.3353 0.0000
B 0.5000 0.0000 0.6647
B 0.5000 0.6647 0.0000
B 0.5000 0.6647 0.6647
Tb 0.0000 0.0000 0.0000
Er 0.0000 0.3333 0.6667
Er 0.0000 0.6667 0.3333

Results
ΔE_f (eV/atom): -0.59
Symmetry: No. 191

Entry 9:
A relaxed structure of CsTlGaF6, computed with GGA-PBE.

Cell: 5.9860 5.9861 6.1919 Å, 90.04 89.96 59.90°
Fractional coordinates of all 9 atoms:
Ga 0.3334 0.3334 0.5000
F 0.0583 0.5882 0.6803
F 0.5866 0.3541 0.6811
F 0.5882 0.0584 0.3197
F 0.3541 0.5866 0.3189
F 0.0596 0.3533 0.3191
F 0.3533 0.0597 0.6809
Cs 0.9999 0.9999 0.0000
Tl 0.6664 0.6664 0.5000

Results
E_form (uncorrected) (eV/f.u.): -21.58
Symmetry: No. 5

Entry 10:
A relaxed structure of TiIr3Pt, computed with GGA-PBE.

Cell: 4.7486 4.7486 4.7486 Å, 90.00 90.00 90.00°
Fractional coordinates of all 5 atoms:
Ti 0.5000 0.5000 0.5000
Ir 0.0000 0.5000 0.0000
Ir 0.5000 0.0000 0.0000
Ir 0.0000 0.0000 0.5000
Pt 0.0000 0.0000 0.0000

Results
ΔE_f (eV/atom): 1.77
Symmetry: No. 221

Entry 11:
A relaxed structure of Sm12Y7Sc, computed with GGA-PBE.

Cell: 8.8138 8.8138 8.8138 Å, 98.40 98.40 98.40°
Fractional coordinates of all 20 atoms:
Sm 0.3551 0.0889 0.3550
Sm 0.6450 0.6449 0.9111
Sm 0.7610 0.2390 0.5000
Sm 0.5000 0.2390 0.7610
Sm 0.0889 0.3550 0.3551
Sm 0.2390 0.7610 0.5000
Sm 0.2390 0.5000 0.7610
Sm 0.7610 0.5000 0.2390
Sm 0.9111 0.6450 0.6449
Sm 0.5000 0.7610 0.2390
Sm 0.6449 0.9111 0.6450
Sm 0.3550 0.3551 0.0889
Y 0.0911 0.6652 0.0911
Y 0.9089 0.9089 0.3348
Y 0.0911 0.0911 0.6652
Y 0.9089 0.3348 0.9089
Y 0.3348 0.9089 0.9089
Y 0.6652 0.0911 0.0911
Y 0.5000 0.5000 0.5000
Sc 0.0000 0.0000 0.0000

Results
ΔE_f (eV/atom): 0.11
Symmetry: No. 166

Entry 12:
A relaxed structure of TbYPtPb, computed with GGA-PBE.

Cell: 5.2030 5.2030 5.2030 Å, 60.00 60.00 60.00°
Fractional coordinates of all 4 atoms:
Tb 0.0000 0.0000 0.0000
Pb 0.2500 0.2500 0.2500
Y 0.5000 0.5000 0.5000
Pt 0.7500 0.7500 0.7500

Results
ΔE_f (eV/atom): -0.74
Symmetry: No. 216

no.,total moment (μB per atom),N(E_F) (states/eV/f.u.)
1,0.30,18.086
2,0.00,5.394
3,0.00,4.448
4,0.00,2.465
5,0.00,8.664
6,0.00,2.429
7,0.00,5.980
8,0.00,2.160
9,0.03,4.098
10,0.28,9.662
11,0.00,37.669
12,0.00,1.384